Be2ZnW: relaxed, PBE.

extended XYZ file:
```
4
Lattice="4.4836 -1.3138 0.0000 4.4836 1.3138 0.0000 -1.4387 0.0000 4.0473" Properties=species:S:1:pos:R:3 pbc="T T T"
Be 0.0000 0.0000 0.0000
Be 5.9091 0.0000 1.3173
Zn 3.4412 0.0000 1.9455
W 0.9548 0.0000 3.4469
```

Results
Energy relative to the elements (meV per atom): 173.6
Volume (A^3/atom): 11.92
SG: No. 8

---

Pm5Sc2Pb5: relaxed, PBE.

extended XYZ file:
```
12
Lattice="6.4010 -2.4108 0.0000 6.4010 2.4108 0.0000 -5.9395 0.0000 11.9387" Properties=species:S:1:pos:R:3 pbc="T T T"
Pm 0.0000 0.0000 0.0000
Pm -1.0110 0.0000 6.1851
Pm -2.3260 0.0000 9.5338
Pm 9.1885 0.0000 2.4049
Pm 7.8735 0.0000 5.7536
Sc 1.5740 0.0000 8.4485
Sc 5.2885 0.0000 3.4901
Pb 0.6595 0.0000 3.3460
Pb 4.2894 0.0000 0.7535
Pb 3.4313 0.0000 5.9693
Pb 2.5731 0.0000 11.1852
Pb 6.2030 0.0000 8.5927
```

Results
Energy relative to the elements (meV per atom): -368.7
Volume (A^3/atom): 30.71
SG: No. 12

---

Be2SbMoSe: relaxed, PBE.

extended XYZ file:
```
5
Lattice="4.5875 0.0000 0.0000 0.0000 4.5875 0.0000 0.0000 0.0000 4.6931" Properties=species:S:1:pos:R:3 pbc="T T T"
Be 0.0000 2.2938 0.0000
Be 2.2938 0.0000 0.0000
Sb 0.0000 0.0000 2.3466
Mo 2.2938 2.2938 0.0000
Se 2.2938 2.2938 2.3466
```

Results
Volume (A^3/atom): 19.75
Energy relative to the elements, uncorrected (eV/atom): 0.9068
SG: No. 123

---

Number 1: DFT total energy -5.246 eV per atom. Number 2: DFT total energy -4.949 eV per atom. Number 3: DFT total energy -4.271 eV per atom.